one:
Here is V3IrRh after structural relaxation from Alexandria. Energies are from GGA-PBE.

## Properties
The density of states at the Fermi level comes out at 22.51 states/eV/cell.

extended XYZ file:
```
20
Lattice="5.229 0.080 0.065 0.116 8.018 1.761 0.116 3.353 7.494" Properties=species:S:1:pos:R:3 pbc="T T T"
V 2.529 6.145 7.647
V 0.318 2.676 4.823
V 2.933 5.306 1.673
V 5.144 8.775 4.497
V 0.485 9.013 8.636
V 2.363 1.125 2.215
V 4.977 2.437 0.684
V 3.099 10.326 7.105
V 2.180 4.658 4.348
V 0.667 6.208 5.609
V 3.282 6.792 4.972
V 4.795 5.243 3.711
Ir 1.424 3.897 6.865
Ir 4.038 7.554 2.455
Ir 1.424 6.902 3.173
Ir 4.038 4.548 6.147
Rh 3.676 3.066 2.846
Rh 4.401 8.081 6.928
Rh 1.786 8.384 6.474
Rh 1.061 3.369 2.392
```



two:
Here is V3IrRh after structural relaxation from Alexandria. Energies are from GGA-PBE.

## Properties
The density of states at the Fermi level comes out at 7.75 states/eV/cell.

extended XYZ file:
```
5
Lattice="4.530 0.000 0.000 0.000 4.530 0.000 0.000 0.000 4.530" Properties=species:S:1:pos:R:3 pbc="T T T"
Ir 0.000 0.000 0.000
Rh 2.265 2.265 2.265
V 0.000 2.265 0.000
V 0.000 0.000 2.265
V 2.265 0.000 0.000
```



Which one is the most stable? From the structures above, one.